Arrangement A

BaCaSmFeO6: relaxed, PBE+U.

Values from the calculation:
V: 537 Å³/cell
mass density: 5.9 g/cm3

abc: 8.128 8.128 8.128
angles: 90.00 90.00 90.00
Space group F-43m (No. 216)
Asymmetric unit:
Ba1 0.000 0.000 0.000 [4 per cell]
Ca1 0.250 0.250 0.250 [4 per cell]
Sm1 0.000 0.000 0.500 [4 per cell]
Fe1 0.250 0.250 0.750 [4 per cell]
O1 0.020 0.250 0.750 [24 per cell]

Arrangement B

BaCaSmFeO6: relaxed, PBE+U.

Values from the calculation:
V: 568 Å³/cell
mass density: 5.6 g/cm3

abc: 8.280 8.280 8.280
angles: 90.00 90.00 90.00
Space group F-43m (No. 216)
Asymmetric unit:
Ba1 0.000 0.000 0.000 [4 per cell]
Ca1 0.000 0.000 0.500 [4 per cell]
Sm1 0.250 0.250 0.250 [4 per cell]
Fe1 0.250 0.250 0.750 [4 per cell]
O1 0.022 0.250 0.750 [24 per cell]

If we sort the structures by their calculated energies, the order from most to least stable is arrangement B, arrangement A.

Arrangement A

Ba2CaY2Fe4O10: relaxed, PBE+U.

Values from the calculation:
V: 302 Å³/cell
mass density: 4.8 g/cm3

abc: 8.255 3.746 9.853
angles: 90.00 97.64 90.00
Space group Pm (No. 6)
Asymmetric unit:
Ba1 0.000 0.000 0.000 [1 per cell]
Ba2 0.400 0.000 0.180 [1 per cell]
Ca1 0.573 0.000 0.867 [1 per cell]
Y1 0.477 0.000 0.539 [1 per cell]
Y2 0.955 0.000 0.553 [1 per cell]
Fe1 0.165 0.500 0.366 [1 per cell]
Fe2 0.260 0.500 0.794 [1 per cell]
Fe3 0.695 0.500 0.382 [1 per cell]
Fe4 0.774 0.500 0.749 [1 per cell]
O1 0.022 0.500 0.730 [1 per cell]
O2 0.166 0.500 0.164 [1 per cell]
O3 0.204 0.000 0.475 [1 per cell]
O4 0.306 0.000 0.903 [1 per cell]
O5 0.457 0.500 0.386 [1 per cell]
O6 0.468 0.500 0.700 [1 per cell]
O7 0.684 0.000 0.396 [1 per cell]
O8 0.730 0.000 0.681 [1 per cell]
O9 0.744 0.500 0.948 [1 per cell]
O10 0.929 0.500 0.427 [1 per cell]

Arrangement B

Ba2CaY2Fe4O10: relaxed, PBE+U.

Values from the calculation:
V: 321 Å³/cell
mass density: 4.5 g/cm3

abc: 3.857 8.055 10.321
angles: 90.00 90.00 90.00
Space group Pmm2 (No. 25)
Asymmetric unit:
Ba1 0.000 0.236 0.000 [2 per cell]
Ca1 0.000 0.500 0.288 [1 per cell]
Y1 0.000 0.223 0.614 [2 per cell]
Fe1 0.500 0.000 0.433 [1 per cell]
Fe2 0.500 0.000 0.797 [1 per cell]
Fe3 0.500 0.500 0.506 [1 per cell]
Fe4 0.500 0.500 0.798 [1 per cell]
O1 0.000 0.000 0.480 [1 per cell]
O2 0.000 0.000 0.759 [1 per cell]
O3 0.000 0.500 0.538 [1 per cell]
O4 0.000 0.500 0.859 [1 per cell]
O5 0.500 0.000 0.008 [1 per cell]
O6 0.500 0.254 0.469 [2 per cell]
O7 0.500 0.257 0.750 [2 per cell]
O8 0.500 0.500 0.173 [1 per cell]

If we sort the structures by their calculated energies, the order from most to least stable is arrangement A, arrangement B.